1.
Below is MgAl2Pb at its PBEsol-relaxed geometry, with properties calculated at the SCAN level.

abc: 3.1725 3.9989 6.7680
angles: 90.00 90.00 90.00
Atoms (fractional coordinates):
Al 0.0000 0.0000 0.0418
Al 0.5000 0.5000 0.2286
Mg 0.0000 0.0000 0.4714
Pb 0.5000 0.5000 0.7582

Calculated values
Uncorrected energy, eV/atom: -23.97
Space-group type: No. 25
Formation enthalpy at 0 K, kJ/mol of formula units: 38.4
N(E_F), states/eV/atom: 0.368

---

2.
Below is HoSn3 at its PBEsol-relaxed geometry, with properties calculated at the SCAN level.

abc: 4.6202 4.6202 4.6202
angles: 90.00 90.00 90.00
Atoms (fractional coordinates):
Ho 0.0000 0.0000 0.0000
Sn 0.5000 0.0000 0.5000
Sn 0.0000 0.5000 0.5000
Sn 0.5000 0.5000 0.0000

Calculated values
Uncorrected energy, eV/atom: -39.62
Space-group type: No. 221
Formation enthalpy at 0 K, kJ/mol of formula units: -167.9
N(E_F), states/eV/atom: 0.500

---

3.
Below is K2SnAu2 at its PBEsol-relaxed geometry, with properties calculated at the SCAN level.

abc: 5.3348 7.1817 7.1817
angles: 90.00 90.00 90.00
Atoms (fractional coordinates):
K 0.5000 0.1718 0.6718
K 0.5000 0.6718 0.8282
K 0.5000 0.8282 0.3282
K 0.5000 0.3282 0.1718
Au 0.0000 0.3627 0.8627
Au 0.0000 0.8627 0.6373
Au 0.0000 0.6373 0.1373
Au 0.0000 0.1373 0.3627
Sn 0.0000 0.0000 0.0000
Sn 0.0000 0.5000 0.5000

Calculated values
Uncorrected energy, eV/atom: -38.52
Space-group type: No. 127
Formation enthalpy at 0 K, kJ/mol of formula units: -165.1
N(E_F), states/eV/atom: 0.441

---

4.
Below is Hg3PtSe at its PBEsol-relaxed geometry, with properties calculated at the SCAN level.

abc: 5.1317 5.1317 5.1317
angles: 90.00 90.00 90.00
Atoms (fractional coordinates):
Se 0.0000 0.0000 0.0000
Hg 0.0000 0.5000 0.0000
Hg 0.0000 0.0000 0.5000
Hg 0.5000 0.0000 0.0000
Pt 0.5000 0.5000 0.5000

Calculated values
ΔE_f (raw), eV per atom: 0.924
Uncorrected energy, eV/atom: -58.03
Space-group type: No. 221
N(E_F), states/eV/atom: 0.795

---

5.
Below is LiY2H2 at its PBEsol-relaxed geometry, with properties calculated at the SCAN level.

abc: 3.7183 3.7183 6.7217
angles: 106.06 106.06 90.00
Each line ends with the local moment (μB).
Atoms (fractional coordinates):
Y 0.3445 0.3445 0.6890  0.07
Y 0.6555 0.6555 0.3110  0.07
H 0.2500 0.7500 0.5000  0.00
H 0.7500 0.2500 0.5000  0.00
Li 0.0000 0.0000 0.0000  0.02

Calculated values
Uncorrected energy, eV/atom: -13.45
Space-group type: No. 139
N(E_F), states/eV/atom: 0.465

---

6.
Below is BaHfSe2 at its PBEsol-relaxed geometry, with properties calculated at the SCAN level.

abc: 6.2069 6.2069 8.3485
angles: 111.82 111.82 90.00
Atoms (fractional coordinates):
Hf 0.2500 0.7500 0.5000
Hf 0.0000 0.0000 0.0000
Ba 0.7500 0.2500 0.5000
Ba 0.5000 0.5000 0.0000
Se 0.2756 0.8750 0.2500
Se 0.9744 0.3750 0.2500
Se 0.1250 0.0256 0.7500
Se 0.6250 0.7244 0.7500

Calculated values
E above lowest polymorph, eV/atom: 0.032
ΔE_f (raw), eV per atom: -1.139
Uncorrected energy, eV/atom: -36.73
Space-group type: No. 122
N(E_F), states/eV/atom: 0.879